# YLuW4 (PBE-GGA, relaxed)
data_YLuW4
_cell_length_a 7.803
_cell_length_b 7.803
_cell_length_c 7.803
_cell_angle_alpha 90.00
_cell_angle_beta 90.00
_cell_angle_gamma 90.00
_space_group_name_H-M_alt 'F -4 3 m'
_space_group_IT_number 216
_space_group_name_Hall 'F -4 2 3'
loop_
_atom_site_label
_atom_site_fract_x
_atom_site_fract_y
_atom_site_fract_z
Y1 0.000 0.000 0.000
Lu1 0.250 0.250 0.750
W1 0.125 0.125 0.375
# * formation enthalpy at 0 K: 0.101 eV per atom
# * V: 475 Å³/cell
# * raw total energy: -248.77 eV for the cell shown
# * total magnetic moment: 0.000 μB/atom